Material: Ho3ZnN
Method: DFT, PBE
State: relaxed

```
20
Lattice="6.727 0.000 0.000 0.000 9.425 0.000 0.000 0.000 6.620" Properties=species:S:1:pos:R:3 pbc="T T T"
Ho 0.067 2.356 0.539
Ho 1.551 0.383 4.830
Ho 1.551 4.329 4.830
Ho 1.812 5.096 1.520
Ho 1.812 9.042 1.520
Ho 3.296 7.069 3.849
Ho 3.431 2.356 2.771
Ho 4.915 0.383 5.100
Ho 4.915 4.329 5.100
Ho 5.176 5.096 1.790
Ho 5.176 9.042 1.790
Ho 6.660 7.069 6.082
Zn 0.146 7.069 3.226
Zn 3.218 2.356 6.536
Zn 3.509 7.069 0.084
Zn 6.581 2.356 3.394
N 0.000 0.000 0.000
N 0.000 4.713 0.000
N 3.364 0.000 3.310
N 3.364 4.713 3.310
```

* final energy: -5.521 eV/atom
* volume: 419.7 Å³/cell
* formation energy without anion corrections: -0.854 eV/atom
* total magnetic moment: 0.0 μB/f.u.

Material: Mn2Ga2Bi
Method: DFT, PBE
State: relaxed

```
5
Lattice="-1.867 1.867 6.339 1.867 -1.867 6.339 1.867 1.867 -6.339" Properties=species:S:1:pos:R:3 pbc="T T T"
Mn 0.000 0.000 1.324
Mn 0.000 0.000 11.354
Ga 1.867 0.000 3.169
Ga 0.000 1.867 3.169
Bi 0.000 0.000 6.339
```

* final energy: -5.490 eV/atom
* formation enthalpy at 0 K: 164.7 meV/atom
* volume: 88.4 Å³/cell
* total magnetic moment: 5.3 μB/f.u.

Material: BaCo2Ni
Method: DFT, PBE
State: relaxed

```
4
Lattice="3.171 0.000 0.000 0.000 3.171 0.000 0.000 0.000 7.212" Properties=species:S:1:pos:R:3 pbc="T T T"
Ba 0.000 0.000 0.000
Co 1.585 1.585 2.491
Co 1.585 1.585 4.720
Ni 0.000 0.000 3.606
```

* final energy: -4.874 eV/atom
* formation enthalpy at 0 K: 604.6 meV/atom
* volume: 72.5 Å³/cell
* total magnetic moment: 4.1 μB/f.u.

Material: AcLa7Ho4
Method: DFT, PBE
State: relaxed

```
12
Lattice="6.474 0.000 0.000 -0.002 7.423 0.000 -2.130 -0.021 8.899" Properties=species:S:1:pos:R:3 pbc="T T T"
Ac 0.000 0.000 0.000
La -0.001 3.711 0.000
La 0.050 7.400 5.891
La 1.125 5.532 3.005
La 1.101 5.489 8.868
La 3.241 1.913 0.031
La 3.217 1.870 5.894
La 4.292 0.002 3.008
Ho -0.020 3.690 5.908
Ho 1.090 1.924 2.972
Ho 3.252 5.478 5.927
Ho 4.362 3.712 2.991
```

* final energy: -4.725 eV/atom
* formation enthalpy at 0 K: 17.6 meV/atom
* volume: 427.6 Å³/cell
* total magnetic moment: 0.0 μB/f.u.

Which formula does entry 3 have?
BaCo2Ni

Copy entry 1 word for word.
Material: Ho3ZnN
Method: DFT, PBE
State: relaxed

```
20
Lattice="6.727 0.000 0.000 0.000 9.425 0.000 0.000 0.000 6.620" Properties=species:S:1:pos:R:3 pbc="T T T"
Ho 0.067 2.356 0.539
Ho 1.551 0.383 4.830
Ho 1.551 4.329 4.830
Ho 1.812 5.096 1.520
Ho 1.812 9.042 1.520
Ho 3.296 7.069 3.849
Ho 3.431 2.356 2.771
Ho 4.915 0.383 5.100
Ho 4.915 4.329 5.100
Ho 5.176 5.096 1.790
Ho 5.176 9.042 1.790
Ho 6.660 7.069 6.082
Zn 0.146 7.069 3.226
Zn 3.218 2.356 6.536
Zn 3.509 7.069 0.084
Zn 6.581 2.356 3.394
N 0.000 0.000 0.000
N 0.000 4.713 0.000
N 3.364 0.000 3.310
N 3.364 4.713 3.310
```

* final energy: -5.521 eV/atom
* volume: 419.7 Å³/cell
* formation energy without anion corrections: -0.854 eV/atom
* total magnetic moment: 0.0 μB/f.u.

Repeat the fourth record exactly.
Material: AcLa7Ho4
Method: DFT, PBE
State: relaxed

```
12
Lattice="6.474 0.000 0.000 -0.002 7.423 0.000 -2.130 -0.021 8.899" Properties=species:S:1:pos:R:3 pbc="T T T"
Ac 0.000 0.000 0.000
La -0.001 3.711 0.000
La 0.050 7.400 5.891
La 1.125 5.532 3.005
La 1.101 5.489 8.868
La 3.241 1.913 0.031
La 3.217 1.870 5.894
La 4.292 0.002 3.008
Ho -0.020 3.690 5.908
Ho 1.090 1.924 2.972
Ho 3.252 5.478 5.927
Ho 4.362 3.712 2.991
```

* final energy: -4.725 eV/atom
* formation enthalpy at 0 K: 17.6 meV/atom
* volume: 427.6 Å³/cell
* total magnetic moment: 0.0 μB/f.u.